# 1
An optimized crystal structure of BaCeAs2Pt4, computed with PBE.

Unit cell a=4.5144 b=4.5144 c=9.4028 alpha=90.00 beta=90.00 gamma=90.00
Space group P4/mmm (No. 123)
Asymmetric unit:
Ba (0.0000, 0.0000, 0.0000) x1
Ce (0.0000, 0.0000, 0.5000) x1
As (0.5000, 0.5000, 0.1916) x2
Pt (0.0000, 0.5000, 0.2983) x4


# 2
An optimized crystal structure of BaCeSnAs3, computed with PBE.

Unit cell a=7.8823 b=4.6618 c=9.7275 alpha=90.00 beta=102.91 gamma=90.00
Space group P2_1/m (No. 11)
Asymmetric unit:
Ba (0.2118, 0.2500, 0.2124) x2
Ce (0.2246, 0.7500, 0.5972) x2
Sn (0.4021, 0.2500, 0.8669) x2
As (0.0237, 0.2500, 0.6689) x2
As (0.2606, 0.7500, 0.9373) x2
As (0.4853, 0.2500, 0.6128) x2


Computed values of formation energy from the elements (unit: eV per atom) for the preceding records, in sequence: -0.7279, -0.8174.